(1)
# Mg2SbOs (PBE-GGA, relaxed)
data_Mg2SbOs
_chemical_formula_sum 'Mg4 Sb2 Os2'
_cell_length_a 4.036
_cell_length_b 4.036
_cell_length_c 8.838
_cell_angle_alpha 90.00
_cell_angle_beta 90.00
_cell_angle_gamma 90.00
_space_group_name_H-M_alt 'I 4/m m m'
_space_group_IT_number 139
_space_group_name_Hall '-I 4 2'
loop_
_atom_site_label
_atom_site_type_symbol
_atom_site_fract_x
_atom_site_fract_y
_atom_site_fract_z
Mg1 Mg 0.000 0.500 0.250
Sb1 Sb 0.000 0.000 0.000
Os1 Os 0.000 0.000 0.500
# Uncorrected energy   -4.50 eV per atom
# E_form (uncorrected)   0.136 eV per atom
# Volume   17.997 Å³/atom
# Total magnetization   0.0 μB per formula unit
# Density of states at the Fermi level   3.55 states/eV per cell

---

(2)
# CuSb2IrW (PBE-GGA, relaxed)
data_CuSb2IrW
_chemical_formula_sum 'Cu1 Sb2 Ir1 W1'
_cell_length_a 5.173
_cell_length_b 5.173
_cell_length_c 4.845
_cell_angle_alpha 90.00
_cell_angle_beta 90.00
_cell_angle_gamma 90.00
_space_group_name_H-M_alt 'P 4/m m m'
_space_group_IT_number 123
_space_group_name_Hall '-P 4 2'
loop_
_atom_site_label
_atom_site_type_symbol
_atom_site_fract_x
_atom_site_fract_y
_atom_site_fract_z
Cu1 Cu 0.000 0.000 0.000
Sb1 Sb 0.000 0.500 0.500
Ir1 Ir 0.500 0.500 0.000
W1 W 0.500 0.500 0.500
# Uncorrected energy   -5.56 eV per atom
# E_form (uncorrected)   1.267 eV per atom
# Volume   25.930 Å³/atom
# Total magnetization   0.0 μB per formula unit
# Density of states at the Fermi level   3.64 states/eV per cell

---

(3)
# ReAgTe2N (PBE-GGA, relaxed)
data_ReAgTe2N
_chemical_formula_sum 'Re1 Ag1 Te2 N1'
_cell_length_a 5.429
_cell_length_b 5.429
_cell_length_c 3.800
_cell_angle_alpha 90.00
_cell_angle_beta 90.00
_cell_angle_gamma 90.00
_space_group_name_H-M_alt 'P 4/m m m'
_space_group_IT_number 123
_space_group_name_Hall '-P 4 2'
loop_
_atom_site_label
_atom_site_type_symbol
_atom_site_fract_x
_atom_site_fract_y
_atom_site_fract_z
Re1 Re 0.000 0.000 0.000
Ag1 Ag 0.500 0.500 0.500
Te1 Te 0.000 0.500 0.500
N1 N 0.500 0.500 0.000
# Energy above the most stable polymorph in this dataset   1520 meV/atom
# Uncorrected energy   -4.08 eV per atom
# E_form (uncorrected)   1.902 eV per atom
# Volume   22.395 Å³/atom
# Total magnetization   2.8 μB per formula unit
# Density of states at the Fermi level   6.28 states/eV per cell

---

(4)
# BaCu3Br (PBE-GGA, relaxed)
data_BaCu3Br
_chemical_formula_sum 'Ba1 Cu3 Br1'
_cell_length_a 5.030
_cell_length_b 5.030
_cell_length_c 5.030
_cell_angle_alpha 90.00
_cell_angle_beta 90.00
_cell_angle_gamma 90.00
_space_group_name_H-M_alt 'P m -3 m'
_space_group_IT_number 221
_space_group_name_Hall '-P 4 2 3'
loop_
_atom_site_label
_atom_site_type_symbol
_atom_site_fract_x
_atom_site_fract_y
_atom_site_fract_z
Ba1 Ba 0.000 0.000 0.000
Cu1 Cu 0.000 0.500 0.500
Br1 Br 0.500 0.500 0.500
# Energy above the most stable polymorph in this dataset   0 meV/atom
# Uncorrected energy   -2.64 eV per atom
# E_form (uncorrected)   0.532 eV per atom
# Volume   25.450 Å³/atom
# Total magnetization   0.0 μB per formula unit
# Density of states at the Fermi level   3.16 states/eV per cell